# 1
! Na4Tm3CrS8 PBE relaxed; values from VASP
&SYSTEM
  ibrav = 0, nat = 16, ntyp = 4
/
ATOMIC_SPECIES
Na 22.99 Na.upf
S 32.06 S.upf
Tm 168.93 Tm.upf
Cr 52.00 Cr.upf
CELL_PARAMETERS angstrom
7.687 0.000 0.000
0.000 8.005 0.214
-3.843 -3.838 5.438
ATOMIC_POSITIONS crystal
Na 0.000 0.000 0.000
S 0.742 0.727 0.485
Tm 0.500 0.500 0.000
S 0.772 0.284 0.013
S 0.241 0.284 0.013
Na 0.500 0.000 0.000
Tm 0.500 0.500 0.500
S 0.759 0.716 0.987
S 0.772 0.284 0.543
Na 0.000 0.000 0.500
Tm 0.000 0.500 0.500
S 0.228 0.716 0.987
S 0.228 0.716 0.457
Cr 0.000 0.500 0.000
Na 0.500 0.000 0.500
S 0.258 0.273 0.515
! - Density: 4419 kg/m³
! - ΔE_f (raw): -1.59 eV per atom

***

# 2
! Na2UCr2S6 PBE relaxed; values from VASP
&SYSTEM
  ibrav = 0, nat = 11, ntyp = 4
/
ATOMIC_SPECIES
Cr 52.00 Cr.upf
S 32.06 S.upf
U 238.03 U.upf
Na 22.99 Na.upf
CELL_PARAMETERS angstrom
-3.994 -3.292 -3.601
1.230 -1.803 5.916
-4.258 5.497 1.477
ATOMIC_POSITIONS crystal
Cr 0.333 0.667 0.500
S 0.936 0.577 0.295
U 0.000 0.000 0.500
S 0.423 0.064 0.705
S 0.064 0.423 0.705
S 0.709 0.709 0.706
S 0.291 0.291 0.294
S 0.577 0.936 0.295
Na 0.838 0.162 0.000
Cr 0.667 0.333 0.500
Na 0.162 0.838 0.000
! - Density: 4141 kg/m³
! - ΔE_f (raw): -1.08 eV per atom
! - DOS(E_F): 6.1 states/eV/f.u.

***

# 3
! Na3UCr2S6 PBE relaxed; values from VASP
&SYSTEM
  ibrav = 0, nat = 12, ntyp = 4
/
ATOMIC_SPECIES
Na 22.99 Na.upf
S 32.06 S.upf
U 238.03 U.upf
Cr 52.00 Cr.upf
CELL_PARAMETERS angstrom
-1.099 6.266 0.922
-4.628 -3.755 -2.409
-0.251 -2.130 6.673
ATOMIC_POSITIONS crystal
Na 0.164 0.836 0.500
S 0.718 0.718 0.212
S 0.576 0.929 0.788
Na 0.836 0.164 0.500
Na 0.500 0.500 0.500
S 0.071 0.424 0.212
S 0.929 0.576 0.788
U 0.000 0.000 0.000
S 0.424 0.071 0.212
Cr 0.333 0.667 0.000
Cr 0.667 0.333 0.000
S 0.282 0.282 0.788
! - Density: 4197 kg/m³
! - ΔE_f (raw): -1.08 eV per atom
! - DOS(E_F): 7.3 states/eV/f.u.